{
  "formula": "NaSrTa",
  "functional": "GGA-PBE",
  "state": "optimized geometry",
  "m_tot_mub_per_fu": 0.000,
  "delta_e_f_ev_per_atom": 0.519,
  "relative_energy_ev_per_fu": 0.60,
  "lattice_angstrom": [[3.405, 0.000, 0.000], [1.595, 4.517, 0.000], [0.474, 0.225, 13.924]],
  "species": ["Na", "Na", "Sr", "Sr", "Ta", "Ta"],
  "frac_coords": [[0.145, 0.228, 0.090], [0.855, 0.772, 0.910], [0.434, 0.691, 0.311], [0.566, 0.309, 0.689], [0.140, 0.227, 0.481], [0.860, 0.773, 0.519]]
}



{
  "formula": "NaSrTa",
  "functional": "GGA-PBE",
  "state": "optimized geometry",
  "m_tot_mub_per_fu": 1.446,
  "delta_e_f_ev_per_atom": 1.195,
  "relative_energy_ev_per_fu": 2.63,
  "lattice_angstrom": [[5.793, 0.000, 0.000], [-2.896, 5.017, 0.000], [0.000, 0.000, 2.912]],
  "species": ["Na", "Sr", "Ta"],
  "frac_coords": [[0.000, 0.000, 0.000], [0.333, 0.667, 0.500], [0.667, 0.333, 0.500]]
}



{
  "formula": "NaSrTa",
  "functional": "GGA-PBE",
  "state": "optimized geometry",
  "m_tot_mub_per_fu": 3.561,
  "delta_e_f_ev_per_atom": 1.445,
  "relative_energy_ev_per_fu": 3.38,
  "lattice_angstrom": [[2.787, -4.827, 0.000], [2.787, 4.827, 0.000], [0.000, 0.000, 7.153]],
  "species": ["Na", "Na", "Sr", "Sr", "Ta", "Ta"],
  "frac_coords": [[0.166, 0.834, 0.750], [0.834, 0.166, 0.250], [0.500, 0.500, 0.000], [0.500, 0.500, 0.500], [0.168, 0.832, 0.250], [0.832, 0.168, 0.750]]
}



{
  "formula": "NaSrTa",
  "functional": "GGA-PBE",
  "state": "optimized geometry",
  "m_tot_mub_per_fu": 0.000,
  "delta_e_f_ev_per_atom": 0.585,
  "relative_energy_ev_per_fu": 0.80,
  "lattice_angstrom": [[3.960, -2.287, 0.000], [3.960, 2.287, 0.000], [-2.660, 0.000, 12.904]],
  "species": ["Na", "Na", "Sr", "Sr", "Ta", "Ta"],
  "frac_coords": [[0.197, 0.197, 0.093], [0.803, 0.803, 0.907], [0.054, 0.059, 0.669], [0.941, 0.946, 0.331], [0.330, 0.336, 0.500], [0.664, 0.670, 0.500]]
}



{
  "formula": "NaSrTa",
  "functional": "GGA-PBE",
  "state": "optimized geometry",
  "m_tot_mub_per_fu": 3.498,
  "delta_e_f_ev_per_atom": 1.424,
  "relative_energy_ev_per_fu": 3.31,
  "lattice_angstrom": [[5.779, 0.000, 0.000], [-2.890, 5.005, 0.000], [0.000, 0.000, 6.700]],
  "species": ["Na", "Na", "Sr", "Sr", "Ta", "Ta"],
  "frac_coords": [[0.000, 0.000, 0.000], [0.000, 0.000, 0.500], [0.333, 0.667, 0.250], [0.667, 0.333, 0.750], [0.333, 0.667, 0.750], [0.667, 0.333, 0.250]]
}



{
  "formula": "Na3SrTa",
  "functional": "GGA-PBE",
  "state": "optimized geometry",
  "m_tot_mub_per_fu": 4.698,
  "delta_e_f_ev_per_atom": 1.222,
  "relative_energy_ev_per_fu": 0.00,
  "lattice_angstrom": [[5.942, 0.000, 0.000], [0.000, 5.942, 0.000], [0.000, 0.000, 5.942]],
  "species": ["Na", "Na", "Na", "Sr", "Ta"],
  "frac_coords": [[0.000, 0.000, 0.500], [0.000, 0.500, 0.000], [0.500, 0.000, 0.000], [0.500, 0.500, 0.500], [0.000, 0.000, 0.000]]
}